# 1
# Ce2Ga9Pd3 | the Alexandria database | PBE-GGA | optimized geometry
data_Ce2Ga9Pd3
_symmetry_space_group_name_H-M 'P 1'
_symmetry_Int_Tables_number 1
_cell_length_a 7.748
_cell_length_b 7.748
_cell_length_c 10.711
_cell_angle_alpha 89.84
_cell_angle_beta 111.40
_cell_angle_gamma 119.95
loop_
_symmetry_equiv_pos_as_xyz
'x,y,z'
loop_
_atom_site_label
_atom_site_fract_x
_atom_site_fract_y
_atom_site_fract_z
_atom_site_occupancy
Ce1 0.333 0.250 0.749 1
Ce2 0.667 0.750 0.251 1
Ce3 0.001 0.584 0.751 1
Ce4 0.999 0.416 0.249 1
Ga1 0.462 0.919 0.749 1
Ga2 0.538 0.081 0.251 1
Ga3 0.670 0.714 0.751 1
Ga4 0.330 0.286 0.249 1
Ga5 0.450 0.642 0.923 1
Ga6 0.550 0.358 0.077 1
Ga7 0.219 0.527 0.577 1
Ga8 0.781 0.473 0.423 1
Ga9 0.872 0.122 0.750 1
Ga10 0.128 0.878 0.250 1
Ga11 0.123 0.978 0.933 1
Ga12 0.877 0.022 0.067 1
Ga13 0.545 0.190 0.567 1
Ga14 0.455 0.810 0.433 1
Ga15 0.884 0.859 0.578 1
Ga16 0.116 0.141 0.422 1
Ga17 0.781 0.306 0.922 1
Ga18 0.219 0.694 0.078 1
Pd1 0.500 0.000 0.000 1
Pd2 0.500 0.500 0.500 1
Pd3 0.835 0.168 0.500 1
Pd4 0.165 0.832 0.500 1
Pd5 0.168 0.336 0.000 1
Pd6 0.832 0.664 0.000 1
# space-group type: C2/c
# formation energy: -8.454 eV per formula unit
# total magnetization: 2.0 μB per formula unit
# calculated total energy: -4.5102 eV per atom

# 2
# HfTiCuTc | the Alexandria database | PBE-GGA | optimized geometry
data_HfTiCuTc
_symmetry_space_group_name_H-M 'P 1'
_symmetry_Int_Tables_number 1
_cell_length_a 4.500
_cell_length_b 4.500
_cell_length_c 4.500
_cell_angle_alpha 60.00
_cell_angle_beta 60.00
_cell_angle_gamma 60.00
loop_
_symmetry_equiv_pos_as_xyz
'x,y,z'
loop_
_atom_site_label
_atom_site_fract_x
_atom_site_fract_y
_atom_site_fract_z
_atom_site_occupancy
Hf1 0.750 0.750 0.750 1
Tc1 0.000 0.000 0.000 1
Cu1 0.500 0.500 0.500 1
Ti1 0.250 0.250 0.250 1
# space-group type: F-43m
# offset from the most stable computed form: 0.047 eV per atom
# formation energy: -1.176 eV per formula unit
# total magnetization: 0.0 μB per formula unit
# calculated total energy: -8.3716 eV per atom

# 3
# ScRu2Br | the Alexandria database | PBE-GGA | optimized geometry
data_ScRu2Br
_symmetry_space_group_name_H-M 'P 1'
_symmetry_Int_Tables_number 1
_cell_length_a 5.467
_cell_length_b 5.467
_cell_length_c 5.467
_cell_angle_alpha 139.88
_cell_angle_beta 139.88
_cell_angle_gamma 58.04
loop_
_symmetry_equiv_pos_as_xyz
'x,y,z'
loop_
_atom_site_label
_atom_site_fract_x
_atom_site_fract_y
_atom_site_fract_z
_atom_site_occupancy
Br1 0.750 0.250 0.500 1
Ru1 0.000 0.000 0.000 1
Ru2 0.500 0.500 0.000 1
Sc1 0.250 0.750 0.500 1
# ΔE_f (raw): 0.28 eV/atom
# space-group type: I4/mmm
# offset from the most stable computed form: 0.361 eV per atom
# total magnetization: 0.0 μB per formula unit
# calculated total energy: -6.3595 eV per atom

# 4
# Ac3BiIr | the Alexandria database | PBE-GGA | optimized geometry
data_Ac3BiIr
_symmetry_space_group_name_H-M 'P 1'
_symmetry_Int_Tables_number 1
_cell_length_a 4.959
_cell_length_b 7.927
_cell_length_c 11.588
_cell_angle_alpha 98.27
_cell_angle_beta 90.00
_cell_angle_gamma 90.00
loop_
_symmetry_equiv_pos_as_xyz
'x,y,z'
loop_
_atom_site_label
_atom_site_fract_x
_atom_site_fract_y
_atom_site_fract_z
_atom_site_occupancy
Ac1 0.750 0.039 0.667 1
Ac2 0.750 0.550 0.693 1
Ac3 0.250 0.961 0.333 1
Ac4 0.250 0.450 0.307 1
Ac5 0.250 0.794 0.983 1
Ac6 0.750 0.206 0.017 1
Bi1 0.250 0.281 0.567 1
Bi2 0.750 0.719 0.433 1
Ir1 0.250 0.140 0.138 1
Ir2 0.750 0.860 0.862 1
# space-group type: P2_1/m
# offset from the most stable computed form: 0.303 eV per atom
# formation energy: -2.152 eV per formula unit
# total magnetization: 0.0 μB per formula unit
# calculated total energy: -5.4439 eV per atom

# 5
# Cs2LiTh2S6 | the Alexandria database | PBE-GGA | optimized geometry
data_Cs2LiTh2S6
_symmetry_space_group_name_H-M 'P 1'
_symmetry_Int_Tables_number 1
_cell_length_a 7.495
_cell_length_b 7.495
_cell_length_c 8.533
_cell_angle_alpha 96.51
_cell_angle_beta 96.51
_cell_angle_gamma 125.27
loop_
_symmetry_equiv_pos_as_xyz
'x,y,z'
loop_
_atom_site_label
_atom_site_fract_x
_atom_site_fract_y
_atom_site_fract_z
_atom_site_occupancy
Cs1 0.852 0.148 0.000 1
Cs2 0.148 0.852 0.000 1
Li1 0.000 0.000 0.500 1
Th1 0.341 0.659 0.500 1
Th2 0.659 0.341 0.500 1
S1 0.736 0.736 0.656 1
S2 0.046 0.432 0.690 1
S3 0.264 0.264 0.344 1
S4 0.432 0.046 0.690 1
S5 0.954 0.568 0.310 1
S6 0.568 0.954 0.310 1
# ΔE_f (raw): -1.53 eV/atom
# space-group type: C2/m
# total magnetization: 0.0 μB per formula unit
# calculated total energy: -5.4563 eV per atom

# 6
# Tl2CuSeCl6 | the Alexandria database | PBE-GGA | optimized geometry
data_Tl2CuSeCl6
_symmetry_space_group_name_H-M 'P 1'
_symmetry_Int_Tables_number 1
_cell_length_a 7.249
_cell_length_b 7.513
_cell_length_c 10.671
_cell_angle_alpha 90.00
_cell_angle_beta 90.00
_cell_angle_gamma 90.00
loop_
_symmetry_equiv_pos_as_xyz
'x,y,z'
loop_
_atom_site_label
_atom_site_fract_x
_atom_site_fract_y
_atom_site_fract_z
_atom_site_occupancy
Tl1 0.500 0.682 0.271 1
Tl2 0.000 0.318 0.771 1
Tl3 0.500 0.682 0.729 1
Tl4 0.000 0.318 0.229 1
Cu1 0.000 0.677 0.500 1
Cu2 0.500 0.323 0.000 1
Se1 0.500 0.202 0.500 1
Se2 0.000 0.798 0.000 1
Cl1 0.500 0.281 0.204 1
Cl2 0.500 0.281 0.796 1
Cl3 0.000 0.719 0.296 1
Cl4 0.000 0.719 0.704 1
Cl5 0.269 0.991 0.500 1
Cl6 0.731 0.991 0.500 1
Cl7 0.259 0.461 0.500 1
Cl8 0.741 0.461 0.500 1
Cl9 0.759 0.539 0.000 1
Cl10 0.241 0.539 0.000 1
Cl11 0.231 0.009 0.000 1
Cl12 0.769 0.009 0.000 1
# ΔE_f (raw): -0.60 eV/atom
# space-group type: Pmmn
# total magnetization: 0.6 μB per formula unit
# calculated total energy: -2.9430 eV per atom

# 7
# Ca2Cu | the Alexandria database | PBE-GGA | optimized geometry
data_Ca2Cu
_symmetry_space_group_name_H-M 'P 1'
_symmetry_Int_Tables_number 1
_cell_length_a 4.510
_cell_length_b 7.942
_cell_length_c 9.531
_cell_angle_alpha 90.00
_cell_angle_beta 90.00
_cell_angle_gamma 90.00
loop_
_symmetry_equiv_pos_as_xyz
'x,y,z'
loop_
_atom_site_label
_atom_site_fract_x
_atom_site_fract_y
_atom_site_fract_z
_atom_site_occupancy
Ca1 0.250 0.022 0.830 1
Ca2 0.750 0.478 0.330 1
Ca3 0.250 0.522 0.670 1
Ca4 0.750 0.978 0.170 1
Ca5 0.250 0.149 0.434 1
Ca6 0.750 0.351 0.934 1
Ca7 0.250 0.649 0.066 1
Ca8 0.750 0.851 0.566 1
Cu1 0.250 0.761 0.372 1
Cu2 0.750 0.739 0.872 1
Cu3 0.250 0.261 0.128 1
Cu4 0.750 0.239 0.628 1
# space-group type: Pnma
# formation energy: -0.192 eV per formula unit
# total magnetization: 0.0 μB per formula unit
# calculated total energy: -2.7638 eV per atom

# 8
# AcPrHo4S8 | the Alexandria database | PBE-GGA | optimized geometry
data_AcPrHo4S8
_symmetry_space_group_name_H-M 'P 1'
_symmetry_Int_Tables_number 1
_cell_length_a 8.152
_cell_length_b 8.152
_cell_length_c 8.250
_cell_angle_alpha 60.39
_cell_angle_beta 60.39
_cell_angle_gamma 60.00
loop_
_symmetry_equiv_pos_as_xyz
'x,y,z'
loop_
_atom_site_label
_atom_site_fract_x
_atom_site_fract_y
_atom_site_fract_z
_atom_site_occupancy
Ac1 0.374 0.374 0.879 1
Pr1 0.998 0.998 0.007 1
Ho1 0.626 0.626 0.122 1
Ho2 0.998 0.506 0.497 1
Ho3 0.506 0.998 0.497 1
Ho4 0.998 0.998 0.497 1
S1 0.242 0.793 0.722 1
S2 0.793 0.242 0.722 1
S3 0.242 0.242 0.722 1
S4 0.234 0.234 0.298 1
S5 0.747 0.236 0.270 1
S6 0.236 0.747 0.270 1
S7 0.747 0.747 0.270 1
S8 0.757 0.757 0.728 1
# ΔE_f (raw): -1.92 eV/atom
# space-group type: R3m
# total magnetization: 0.0 μB per formula unit
# calculated total energy: -6.2196 eV per atom

# 9
# Cr2SiHg2 | the Alexandria database | PBE-GGA | optimized geometry
data_Cr2SiHg2
_symmetry_space_group_name_H-M 'P 1'
_symmetry_Int_Tables_number 1
_cell_length_a 3.193
_cell_length_b 3.193
_cell_length_c 9.071
_cell_angle_alpha 79.86
_cell_angle_beta 79.86
_cell_angle_gamma 90.00
loop_
_symmetry_equiv_pos_as_xyz
'x,y,z'
loop_
_atom_site_label
_atom_site_fract_x
_atom_site_fract_y
_atom_site_fract_z
_atom_site_occupancy
Cr1 0.750 0.250 0.500 1
Cr2 0.250 0.750 0.500 1
Si1 0.000 0.000 0.000 1
Hg1 0.387 0.387 0.226 1
Hg2 0.613 0.613 0.774 1
# ΔE_f (raw): 0.75 eV/atom
# space-group type: I4/mmm
# offset from the most stable computed form: 0.000 eV per atom
# total magnetization: 0.0 μB per formula unit
# calculated total energy: -4.3080 eV per atom

# 10
# CrHg3 | the Alexandria database | PBE-GGA | optimized geometry
data_CrHg3
_symmetry_space_group_name_H-M 'P 1'
_symmetry_Int_Tables_number 1
_cell_length_a 3.377
_cell_length_b 3.377
_cell_length_c 9.439
_cell_angle_alpha 100.30
_cell_angle_beta 79.70
_cell_angle_gamma 120.00
loop_
_symmetry_equiv_pos_as_xyz
'x,y,z'
loop_
_atom_site_label
_atom_site_fract_x
_atom_site_fract_y
_atom_site_fract_z
_atom_site_occupancy
Cr1 0.000 0.000 0.000 1
Hg1 0.743 0.257 0.771 1
Hg2 0.500 0.500 0.500 1
Hg3 0.257 0.743 0.229 1
# space-group type: R-3m
# formation energy: 1.354 eV per formula unit
# total magnetization: 4.4 μB per formula unit
# calculated total energy: -2.2937 eV per atom